Below is a crystal of BeNiRh2 relaxed with PBEsol, with properties calculated at the SCAN level.

The calculation puts the energy of formation at -45 meV per atom.

It has space group Pmmm (No. 47), with a = 2.6963 Å, b = 4.0547 Å, c = 4.3439 Å, α = 90.00°, β = 90.00° and γ = 90.00°. The asymmetric unit holds Be at (0.0000, 0.0000, 0.0000), Ni at (0.5000, 0.0000, 0.5000), Rh at (0.0000, 0.5000, 0.5000) and Rh at (0.5000, 0.5000, 0.0000).

Below is a crystal of Ba4Sb2O9 relaxed with PBEsol, with properties calculated at the SCAN level.

The value obtained for the formation energy (no corrections) is -2.45 eV per atom.

It has space group P6_3/mmc (No. 194), with a = 6.0055 Å, b = 6.0055 Å, c = 16.9341 Å, α = 90.00°, β = 90.00° and γ = 120.00°. The asymmetric unit holds Ba at (0.0000, 0.0000, 0.0000), Ba at (0.0000, 0.0000, 0.2500), Ba at (0.3333, 0.6667, 0.1302), Sb at (0.3333, 0.6667, 0.6635), O at (0.0376, 0.5188, 0.7500) and O at (0.1693, 0.3386, 0.6108).

Values of E_tot, in order: -88.3 -651.1, all in eV per cell.
Values of DOS(E_F), in order: 4.268 0.000, all in states/eV per cell.